PBE Ba2AlCoCu, optimized geometry; symmetry = P4/mmm (123); calculated density = 3.79 Mg/m³; DOS at the Fermi energy = 6.27 states/eV per cell; DFT formation energy = 317 kJ/mol of formula units
1.0
6.408 0.000 0.000
0.000 6.408 0.000
0.000 0.000 4.527
Al Co Ba Cu
1 1 2 1
direct
0.000 0.000 0.000 Al
0.500 0.500 0.500 Co
0.500 0.000 0.000 Ba
0.000 0.500 0.000 Ba
0.000 0.000 0.500 Cu

=====

PBE BaAl2GaCo, optimized geometry; symmetry = P4/mmm (123); calculated density = 5.10 Mg/m³; DOS at the Fermi energy = 1.64 states/eV per cell; DFT formation energy = -147 kJ/mol of formula units
1.0
4.694 0.000 0.000
0.000 4.694 0.000
0.000 0.000 4.732
Al Co Ba Ga
2 1 1 1
direct
0.000 0.500 0.000 Al
0.500 0.000 0.000 Al
0.000 0.000 0.000 Co
0.500 0.500 0.500 Ba
0.000 0.000 0.500 Ga

=====

PBE BaAlGa2Co, optimized geometry; symmetry = P4/mmm (123); calculated density = 5.74 Mg/m³; DOS at the Fermi energy = 1.82 states/eV per cell; DFT formation energy = -160 kJ/mol of formula units
1.0
-4.274 -0.946 1.794
-1.508 -1.316 -4.287
1.344 -4.405 0.879
Al Co Ga Ba
1 1 2 1
direct
0.000 0.000 0.500 Al
0.000 0.000 0.000 Co
0.000 0.500 0.000 Ga
0.500 0.000 0.000 Ga
0.500 0.500 0.500 Ba

=====

PBE Ba2AlCoGe, optimized geometry; symmetry = P4/mmm (123); calculated density = 4.07 Mg/m³; DOS at the Fermi energy = 5.76 states/eV per cell; DFT formation energy = 182 kJ/mol of formula units
1.0
6.345 0.000 0.000
0.000 4.389 0.000
0.000 0.000 6.345
Al Ba Ge Co
1 2 1 1
direct
0.000 0.000 0.000 Al
0.500 0.000 0.000 Ba
0.000 0.000 0.500 Ba
0.500 0.500 0.500 Ge
0.000 0.500 0.000 Co

=====

PBE BaAlCo2H8, optimized geometry; symmetry = R-3 (148); calculated density = 4.49 Mg/m³; VASP energy = -4.048 eV per atom; DOS at the Fermi energy = 2.81 states/eV per cell
1.0
4.452 0.000 0.000
2.226 3.856 0.000
2.226 1.285 6.246
H Al Ba Co
8 1 1 2
direct
0.906 0.604 0.130 H
0.777 0.777 0.670 H
0.604 0.360 0.130 H
0.360 0.906 0.130 H
0.640 0.094 0.870 H
0.223 0.223 0.330 H
0.094 0.396 0.870 H
0.396 0.640 0.870 H
0.000 0.000 0.000 Al
0.500 0.500 0.500 Ba
0.691 0.691 0.928 Co
0.309 0.309 0.072 Co

=====

PBE BaAlCo2N, optimized geometry; symmetry = P4/mmm (123); calculated density = 3.12 Mg/m³; DOS at the Fermi energy = 7.51 states/eV per cell; energy relative to the elements, uncorrected = 2871 meV/atom
1.0
-1.138 4.221 -2.258
-6.270 -1.723 -0.062
-0.639 2.166 4.371
Co Al N Ba
2 1 1 1
direct
0.000 0.000 0.500 Co
0.500 0.000 0.000 Co
0.000 0.500 0.000 Al
0.500 0.500 0.500 N
0.000 0.000 0.000 Ba

=====

PBE Ba2AlCoNi, optimized geometry; symmetry = P4/mmm (123); calculated density = 4.39 Mg/m³; DOS at the Fermi energy = 5.16 states/eV per cell; DFT formation energy = 194 kJ/mol of formula units
1.0
-3.514 -1.715 4.354
-0.831 -3.972 -2.236
4.561 -2.477 2.705
Al Ba Co Ni
1 2 1 1
direct
0.000 0.500 0.000 Al
0.000 0.000 0.500 Ba
0.500 0.000 0.000 Ba
0.500 0.500 0.500 Co
0.000 0.000 0.000 Ni